Record 1
{
  "formula": "TcNiPt14",
  "functional": "PBE-GGA",
  "state": "optimized geometry",
  "lattice": [[5.5960, 0.0000, 0.0000], [0.0000, 5.5960, 0.0000], [0.0000, 0.0000, 7.8471]],
  "species": ["Tc", "Ni", "Pt", "Pt", "Pt", "Pt", "Pt", "Pt", "Pt", "Pt", "Pt", "Pt", "Pt", "Pt", "Pt", "Pt"],
  "fractional_positions": [[0.0000, 0.0000, 0.0000], [0.5000, 0.5000, 0.0000], [0.0000, 0.0000, 0.5000], [0.0000, 0.5000, 0.0000], [0.0000, 0.5000, 0.5000], [0.2498, 0.2498, 0.2422], [0.2498, 0.2498, 0.7578], [0.2498, 0.7502, 0.2422], [0.2498, 0.7502, 0.7578], [0.5000, 0.0000, 0.0000], [0.5000, 0.0000, 0.5000], [0.5000, 0.5000, 0.5000], [0.7502, 0.2498, 0.2422], [0.7502, 0.2498, 0.7578], [0.7502, 0.7502, 0.2422], [0.7502, 0.7502, 0.7578]],
  "formation_enthalpy_0k_mev_per_atom": -62.3
}


Record 2
{
  "formula": "ZrCr2CdAg",
  "functional": "PBE-GGA",
  "state": "optimized geometry",
  "lattice": [[4.9800, 0.0000, 0.0000], [0.0000, 4.9800, 0.0000], [0.0000, 0.0000, 5.3404]],
  "species": ["Zr", "Cr", "Cr", "Cd", "Ag"],
  "fractional_positions": [[0.0000, 0.0000, 0.0000], [0.0000, 0.5000, 0.5000], [0.5000, 0.0000, 0.5000], [0.0000, 0.0000, 0.5000], [0.5000, 0.5000, 0.0000]],
  "formation_enthalpy_0k_mev_per_atom": 1444.8
}


Record 3
{
  "formula": "SrZnSnPd3",
  "functional": "PBE-GGA",
  "state": "optimized geometry",
  "lattice": [[3.0782, -6.1956, 0.0000], [3.0782, 6.1956, 0.0000], [0.0000, 0.0000, 6.7733]],
  "species": ["Sr", "Sr", "Zn", "Zn", "Sn", "Sn", "Pd", "Pd", "Pd", "Pd", "Pd", "Pd"],
  "fractional_positions": [[0.1923, 0.8077, 0.7500], [0.8077, 0.1923, 0.2500], [0.4407, 0.5593, 0.7500], [0.5593, 0.4407, 0.2500], [0.1318, 0.8682, 0.2500], [0.8682, 0.1318, 0.7500], [0.2299, 0.2299, 0.0000], [0.2299, 0.2299, 0.5000], [0.3459, 0.6541, 0.2500], [0.6541, 0.3459, 0.7500], [0.7701, 0.7701, 0.0000], [0.7701, 0.7701, 0.5000]],
  "formation_enthalpy_0k_mev_per_atom": -480.4
}


Record 4
{
  "formula": "LiY2Te",
  "functional": "PBE-GGA",
  "state": "optimized geometry",
  "lattice": [[7.4391, 0.0000, 0.0000], [0.0000, 7.4391, 0.0000], [0.0000, 0.0000, 7.4391]],
  "species": ["Li", "Li", "Li", "Li", "Y", "Y", "Y", "Y", "Y", "Y", "Y", "Y", "Te", "Te", "Te", "Te"],
  "fractional_positions": [[0.0000, 0.0000, 0.0000], [0.0000, 0.5000, 0.5000], [0.5000, 0.0000, 0.5000], [0.5000, 0.5000, 0.0000], [0.2500, 0.2500, 0.2500], [0.2500, 0.2500, 0.7500], [0.2500, 0.7500, 0.2500], [0.2500, 0.7500, 0.7500], [0.7500, 0.2500, 0.2500], [0.7500, 0.2500, 0.7500], [0.7500, 0.7500, 0.2500], [0.7500, 0.7500, 0.7500], [0.0000, 0.0000, 0.5000], [0.0000, 0.5000, 0.0000], [0.5000, 0.0000, 0.0000], [0.5000, 0.5000, 0.5000]],
  "polymorph_energy_ev_per_atom": 0.274
}


| no. | calculated volume (Å³/cell) |
| --- | --- |
| 1 | 245.7 |
| 2 | 132.4 |
| 3 | 258.3 |
| 4 | 411.7 |